(1)
This record from Alexandria describes Li3B8C8 after structural relaxation. The functional is PBE.

a = 7.4888 Å, b = 7.4888 Å, c = 9.1830 Å
α = 105.36°, β = 105.36°, γ = 20.74°
Positions (direct):
C  0.8528  0.8528  0.2698
C  0.6873  0.6873  0.9857
C  0.8743  0.8743  0.7868
C  0.6097  0.6097  0.4549
C  0.3171  0.3171  0.0036
C  0.1283  0.1283  0.7174
C  0.3818  0.3818  0.5328
C  0.1514  0.1514  0.2234
B  0.6687  0.6687  0.1486
B  0.8146  0.8146  0.0940
B  0.6196  0.6196  0.6276
B  0.8818  0.8818  0.6232
B  0.1738  0.1738  0.8894
B  0.3537  0.3537  0.8568
B  0.1182  0.1182  0.3686
B  0.3673  0.3673  0.3569
Li  0.5036  0.5036  0.7880
Li  0.9950  0.9950  0.4802
Li  0.7511  0.7511  0.4172

Output
- D(E_F) (states/eV/cell) = 2.49
- total moment (μB per cell) = 0.00
- volume (Å³/cell) = 176
- energy relative to the elements (eV/atom) = 0.09
- symmetry = Cm (8)
- excess energy over the best structure of this formula in the dataset (meV/atom) = 80.3



(2)
This record from Alexandria describes In2SbP after structural relaxation. The functional is PBE.

a = 3.4774 Å, b = 3.5116 Å, c = 7.8902 Å
α = 90.00°, β = 90.00°, γ = 90.00°
Positions (direct):
In  0.0000  0.0000  0.0460
In  0.0000  0.0000  0.4540
P  0.5000  0.5000  0.2500
Sb  0.5000  0.5000  0.7500

Output
- D(E_F) (states/eV/cell) = 1.80
- total moment (μB per cell) = 0.00
- volume (Å³/cell) = 96
- E_form (uncorrected) (meV/atom) = 222
- symmetry = Pmmm (47)
- excess energy over the best structure of this formula in the dataset (meV/atom) = 365.2



Which value of volume does entry 1 give? 176 Å³/cell



Number 1 is which compound? Li3B8C8



Number 2 is which compound? In2SbP



Among the records above, which one has the lowest volume? In2SbP